Record 1
! LiTl2OsO4 (PBE, optimized geometry); values from VASP
&SYSTEM
  ibrav = 0, nat = 16, ntyp = 4
/
ATOMIC_SPECIES
Li 6.94 Li.upf
Tl 204.38 Tl.upf
Os 190.23 Os.upf
O 16.00 O.upf
CELL_PARAMETERS angstrom
0.000 6.673 9.208
2.772 0.000 9.208
2.772 6.673 0.000
ATOMIC_POSITIONS angstrom
Li 0.693 1.668 2.302
Li 4.851 11.678 16.114
Tl 2.079 5.005 0.966
Tl 3.465 8.342 5.570
Tl 2.079 5.005 12.846
Tl 3.465 8.342 17.450
Os 2.079 5.005 6.906
Os 3.465 8.342 11.510
O 3.384 5.481 5.681
O 3.384 4.529 8.132
O 4.770 7.866 10.285
O 4.770 8.817 12.736
O 0.775 4.529 5.681
O 0.775 5.481 8.132
O 2.161 8.817 10.285
O 2.161 7.866 12.736
! E in eV for the cell shown: -90.41
! Crystal system: orthorhombic
! Space-group type: Fddd, No. 70
! D(E_F) in states/eV per cell: 8.278

Record 2
! Li2UOsO8 (PBE, optimized geometry); values from VASP
&SYSTEM
  ibrav = 0, nat = 12, ntyp = 4
/
ATOMIC_SPECIES
Li 6.94 Li.upf
U 238.03 U.upf
Os 190.23 Os.upf
O 16.00 O.upf
CELL_PARAMETERS angstrom
3.296 -3.418 0.000
3.296 3.418 0.000
0.000 0.000 6.458
ATOMIC_POSITIONS angstrom
Li 0.000 0.000 1.492
Li 0.000 0.000 4.965
U 3.296 0.000 3.229
Os 3.296 0.000 0.000
O 1.428 0.000 3.229
O 1.482 0.000 0.000
O 3.296 1.280 1.415
O 3.296 1.280 5.043
O 3.296 -1.280 1.415
O 3.296 -1.280 5.043
O 5.110 0.000 0.000
O 5.165 0.000 3.229
! E in eV for the cell shown: -88.75
! Crystal system: orthorhombic
! Space-group type: Cmmm, No. 65